No. 1
Compound: In2AgW
Source: Alexandria
Functional: PBE
Structure: optimized geometry

abc: 2.9432 4.2133 6.2442
angles: 90.00 90.00 90.00
Last column: nearest neighbours and their distance in Å.
Fractional coordinates of all 4 atoms:
W: 0.5000 0.5000 0.2500  2 W 2.94, 8 In 2.98, 2 Ag 3.12
In: 0.0000 0.0000 0.4906  4 In 2.94-3.24, 4 W 2.98, 4 Ag 3.04
In: 0.0000 0.0000 0.0094  4 In 2.94-3.24, 4 W 2.98, 4 Ag 3.04
Ag: 0.5000 0.5000 0.7500  2 Ag 2.94, 8 In 3.04, 2 W 3.12

## Properties
Energy above the most stable polymorph in this dataset: 103 meV/atom
Energy of formation from the pure elements: 0.51 eV/atom

=====

No. 2
Compound: Na4Nd3SnO8
Source: Alexandria
Functional: PBE
Structure: optimized geometry

abc: 7.0852 6.9787 7.0851
angles: 120.52 120.00 90.00
Last column: nearest neighbours and their distance in Å.
Fractional coordinates of all 16 atoms:
O: 0.2614 0.2843 0.5228  3 Nd 2.38, 3 Na 2.60
O: 0.2338 0.7166 0.4677  1 Sn 2.33, 2 Nd 2.41, 2 Na 2.57
O: 0.7662 0.2834 0.5323  1 Sn 2.33, 2 Nd 2.41, 2 Na 2.57
O: 0.2510 0.2835 0.0172  1 Sn 2.33, 2 Nd 2.41, 2 Na 2.57
O: 0.7662 0.2835 0.0172  1 Sn 2.33, 2 Nd 2.41, 2 Na 2.57
O: 0.2338 0.7165 0.9828  1 Sn 2.33, 2 Nd 2.41, 2 Na 2.57
O: 0.7490 0.7165 0.9828  1 Sn 2.33, 2 Nd 2.41, 2 Na 2.57
O: 0.7386 0.7157 0.4772  3 Nd 2.38, 3 Na 2.60
Nd: 0.5000 0.5000 0.5000  6 O 2.38-2.41
Nd: 0.0000 0.5000 0.5000  6 O 2.38-2.41
Nd: 0.5000 0.5000 0.0000  6 O 2.38-2.41
Na: 0.0000 0.0000 0.0000  6 O 2.57-2.60
Na: 0.5000 0.0000 0.5000  6 O 2.57-2.60
Na: 0.0000 0.0000 0.5000  6 O 2.57-2.60
Na: 0.5000 0.0000 0.0000  6 O 2.65
Sn: 0.0000 0.5000 0.0000  6 O 2.33

## Properties
Uncorrected formation energy: -2285 meV per atom

=====

No. 3
Compound: ZrBeCl2
Source: Alexandria
Functional: PBE
Structure: optimized geometry

abc: 8.9801 8.9801 8.9801
angles: 20.51 20.51 20.51
Last column: nearest neighbours and their distance in Å.
Fractional coordinates of all 4 atoms:
Cl: 0.0952 0.0952 0.0952  1 Be 2.51, 3 Zr 2.64
Cl: 0.9048 0.9048 0.9048  1 Be 2.51, 3 Zr 2.64
Be: 0.0000 0.0000 0.0000  2 Cl 2.51
Zr: 0.5000 0.5000 0.5000  6 Cl 2.64

## Properties
Energy above the most stable polymorph in this dataset: 336 meV/atom
Uncorrected formation energy: -466 meV per atom

=====

No. 4
Compound: CoOsCl2
Source: Alexandria
Functional: PBE
Structure: optimized geometry

abc: 9.2008 9.2008 9.2008
angles: 18.82 18.82 18.82
Last column: nearest neighbours and their distance in Å.
Fractional coordinates of all 4 atoms:
Os: 0.7615 0.7615 0.7615  3 Co 2.50, 3 Cl 2.58
Co: 0.4947 0.4947 0.4947  3 Cl 2.34, 3 Os 2.50
Cl: 0.0246 0.0246 0.0246  3 Os 2.58
Cl: 0.2193 0.2193 0.2193  3 Co 2.34

## Properties
Energy above the most stable polymorph in this dataset: 77 meV/atom
Uncorrected formation energy: 263 meV per atom

=====

No. 5
Compound: Al2SiCl
Source: Alexandria
Functional: PBE
Structure: optimized geometry

abc: 2.8810 4.9460 5.0053
angles: 90.00 90.00 90.00
Last column: nearest neighbours and their distance in Å.
Fractional coordinates of all 4 atoms:
Al: 0.5000 0.5000 0.0000  6 Al 2.86-2.88, 4 Si 2.89
Al: 0.0000 0.0000 0.0000  6 Al 2.86-2.88, 4 Cl 2.89
Si: 0.0000 0.5000 0.5000  4 Cl 2.86, 2 Si 2.88, 4 Al 2.89
Cl: 0.5000 0.0000 0.5000  4 Si 2.86, 2 Cl 2.88, 4 Al 2.89

## Properties
Energy above the most stable polymorph in this dataset: 223 meV/atom
Uncorrected formation energy: 184 meV per atom

=====

No. 6
Compound: CeThRhAu
Source: Alexandria
Functional: PBE
Structure: optimized geometry

abc: 5.1153 5.1153 5.1153
angles: 60.00 60.00 60.00
Last column: nearest neighbours and their distance in Å.
Fractional coordinates of all 4 atoms:
Ce: 0.2500 0.2500 0.2500  4 Rh 3.13, 4 Au 3.13
Th: 0.7500 0.7500 0.7500  4 Rh 3.13, 4 Au 3.13
Rh: 0.0000 0.0000 0.0000  4 Ce 3.13, 4 Th 3.13
Au: 0.5000 0.5000 0.5000  4 Ce 3.13, 4 Th 3.13

## Properties
Energy above the most stable polymorph in this dataset: 134 meV/atom
Energy of formation from the pure elements: -0.60 eV/atom

=====

No. 7
Compound: Ac2Pm3Pr3
Source: Alexandria
Functional: PBE
Structure: optimized geometry

abc: 5.3388 5.3415 11.1854
angles: 103.81 103.81 90.00
Last column: nearest neighbours and their distance in Å.
Fractional coordinates of all 8 atoms:
Pr: 0.6199 0.6199 0.2398  6 Pm 3.67-3.78, 2 Pr 3.68, 4 Ac 3.82-3.83
Pr: 0.3801 0.3801 0.7602  6 Pm 3.67-3.78, 2 Pr 3.68, 4 Ac 3.82-3.83
Pr: 0.5000 0.0000 0.0000  4 Pr 3.68, 8 Pm 3.68-3.78
Ac: 0.7501 0.2501 0.5001  4 Ac 3.78, 4 Pm 3.82, 4 Pr 3.82-3.83
Ac: 0.2499 0.7499 0.4999  4 Ac 3.78, 4 Pm 3.82, 4 Pr 3.82-3.83
Pm: 0.0000 0.5000 0.0000  8 Pr 3.67-3.78, 4 Pm 3.68
Pm: 0.1202 0.1202 0.2404  6 Pr 3.68-3.78, 2 Pm 3.68, 4 Ac 3.82
Pm: 0.8798 0.8798 0.7596  6 Pr 3.68-3.78, 2 Pm 3.68, 4 Ac 3.82

## Properties
Energy above the most stable polymorph in this dataset: 0 meV/atom
Energy of formation from the pure elements: 0.03 eV/atom

=====

No. 8
Compound: As3PbS
Source: Alexandria
Functional: PBE
Structure: optimized geometry

abc: 5.3823 5.3823 5.3823
angles: 90.00 90.00 90.00
Last column: nearest neighbours and their distance in Å.
Fractional coordinates of all 5 atoms:
S: 0.5000 0.5000 0.5000  12 As 3.81
As: 0.0000 0.5000 0.0000  2 Pb 2.69
As: 0.0000 0.0000 0.5000  2 Pb 2.69
As: 0.5000 0.0000 0.0000  2 Pb 2.69
Pb: 0.0000 0.0000 0.0000  6 As 2.69

## Properties
Energy above the most stable polymorph in this dataset: 957 meV/atom
Uncorrected formation energy: 1455 meV per atom

=====

No. 9
Compound: Mg2CuCl
Source: Alexandria
Functional: PBE
Structure: optimized geometry

abc: 4.9395 4.9395 3.1254
angles: 90.00 90.00 103.44
Last column: nearest neighbours and their distance in Å.
Fractional coordinates of all 4 atoms:
Mg: 0.0000 0.0000 0.0000  4 Cl 2.92, 4 Cu 2.92, 4 Mg 3.06-3.13
Mg: 0.5000 0.5000 0.0000  4 Cu 2.92, 4 Cl 2.92, 4 Mg 3.06-3.13
Cu: 0.0000 0.5000 0.5000  8 Mg 2.92, 2 Cl 3.06, 2 Cu 3.13
Cl: 0.5000 0.0000 0.5000  8 Mg 2.92, 2 Cu 3.06, 2 Cl 3.13

## Properties
Energy above the most stable polymorph in this dataset: 265 meV/atom
Uncorrected formation energy: -264 meV per atom

=====

No. 10
Compound: CaGa2Ni2
Source: Alexandria
Functional: PBE
Structure: optimized geometry

abc: 7.4301 7.4301 2.7741
angles: 90.00 90.00 90.00
Last column: nearest neighbours and their distance in Å.
Fractional coordinates of all 10 atoms:
Ni: 0.3279 0.1721 0.5000  6 Ga 2.55-2.63, 2 Ni 2.77
Ni: 0.6721 0.8279 0.5000  6 Ga 2.55-2.63, 2 Ni 2.77
Ni: 0.1721 0.6721 0.5000  6 Ga 2.55-2.63, 2 Ni 2.77
Ni: 0.8279 0.3279 0.5000  6 Ga 2.55-2.63, 2 Ni 2.77
Ga: 0.8752 0.6248 0.0000  6 Ni 2.55-2.63, 3 Ga 2.62-2.77
Ga: 0.1248 0.3752 0.0000  6 Ni 2.55-2.63, 3 Ga 2.62-2.77
Ga: 0.6248 0.1248 0.0000  6 Ni 2.55-2.63, 3 Ga 2.62-2.77
Ga: 0.3752 0.8752 0.0000  6 Ni 2.55-2.63, 3 Ga 2.62-2.77
Ca: 0.5000 0.5000 0.0000  2 Ca 2.77, 4 Ga 2.94, 8 Ni 3.08
Ca: 0.0000 0.0000 0.0000  2 Ca 2.77, 4 Ga 2.94, 8 Ni 3.08

## Properties
Energy of formation from the pure elements: -0.28 eV/atom

=====

No. 11
Compound: Ni2SbPt8
Source: Alexandria
Functional: PBE
Structure: optimized geometry

abc: 4.0857 7.2721 7.1895
angles: 120.38 106.51 90.00
Last column: nearest neighbours and their distance in Å.
Fractional coordinates of all 11 atoms:
Ni: 0.8141 0.3141 0.6282  10 Pt 2.57-2.79
Ni: 0.1859 0.6859 0.3718  10 Pt 2.57-2.79
Pt: 0.8487 0.8487 0.6974  2 Sb 2.70, 8 Pt 2.74-2.89, 2 Ni 2.79
Pt: 0.3383 0.1129 0.6767  3 Ni 2.63-2.68, 7 Pt 2.74-2.93, 1 Sb 2.75
Pt: 0.6617 0.8871 0.3233  3 Ni 2.63-2.68, 7 Pt 2.74-2.93, 1 Sb 2.75
Pt: 0.3383 0.5638 0.6767  3 Ni 2.63-2.68, 7 Pt 2.74-2.93, 1 Sb 2.75
Pt: 0.1513 0.1513 0.3026  2 Sb 2.70, 8 Pt 2.74-2.89, 2 Ni 2.79
Pt: 0.6617 0.4362 0.3233  3 Ni 2.63-2.68, 7 Pt 2.74-2.93, 1 Sb 2.75
Pt: 0.0000 0.3134 0.0000  2 Ni 2.57, 5 Pt 2.71-2.80
Pt: 0.0000 0.6866 0.0000  2 Ni 2.57, 5 Pt 2.71-2.80
Sb: 0.5000 0.0000 0.0000  8 Pt 2.70-2.75

## Properties
Uncorrected formation energy: -35 meV per atom

=====

No. 12
Compound: Pr3Tl2Pd4
Source: Alexandria
Functional: PBE
Structure: optimized geometry

abc: 4.6394 5.5613 9.2483
angles: 92.51 90.00 114.65
Last column: nearest neighbours and their distance in Å.
Fractional coordinates of all 9 atoms:
Tl: 0.3275 0.6551 0.2196  5 Pd 2.82-2.87
Tl: 0.6725 0.3449 0.7804  5 Pd 2.82-2.87
Pr: 0.3708 0.7416 0.6138  6 Pd 2.94-3.27
Pr: 0.0000 0.0000 0.0000  6 Pd 3.08-3.21
Pr: 0.6292 0.2584 0.3862  6 Pd 2.94-3.27
Pd: 0.7095 0.4191 0.0850  3 Tl 2.82-2.87, 2 Pr 2.94-3.08, 2 Pd 2.94
Pd: 0.9237 0.8474 0.3741  1 Pd 2.73, 2 Tl 2.87, 1 Pr 2.98
Pd: 0.0763 0.1526 0.6259  1 Pd 2.73, 2 Tl 2.87, 1 Pr 2.98
Pd: 0.2905 0.5809 0.9150  3 Tl 2.82-2.87, 2 Pr 2.94-3.08, 2 Pd 2.94

## Properties
Energy of formation from the pure elements: -0.60 eV/atom

=====

No. 13
Compound: MnCu4Bi
Source: Alexandria
Functional: PBE
Structure: optimized geometry

abc: 5.0672 5.0672 5.0672
angles: 60.00 60.00 60.00
Last column: nearest neighbours and their distance in Å.
Fractional coordinates of all 6 atoms:
Cu: 0.6262 0.1213 0.6262  6 Cu 2.51-2.56
Cu: 0.1213 0.6262 0.6262  6 Cu 2.51-2.56
Cu: 0.6262 0.6262 0.1213  6 Cu 2.51-2.56
Cu: 0.6262 0.6262 0.6262  6 Cu 2.51-2.56
Mn: 0.0000 0.0000 0.0000  12 Cu 2.97, 4 Bi 3.10
Bi: 0.2500 0.2500 0.2500  12 Cu 2.97, 4 Mn 3.10

## Properties
Energy of formation from the pure elements: 0.18 eV/atom

=====

no.,M_tot (Bohr magnetons per cell)
1,0.00
2,0.00
3,0.00
4,1.23
5,0.00
6,0.80
7,0.00
8,0.00
9,0.00
10,0.00
11,2.91
12,0.00
13,4.42